An optimized crystal structure of Tl2HgMo. Source: Alexandria via LeMat-Bulk, functional GGA-PBEsol.

Results
Calculated formation energy = 0.5181 eV per atom
ΔE to the lowest computed polymorph = 0.0 kJ per mole of atoms
Mass density = 13.41 g cm⁻³
M_tot = 0.00 μB/cell
N(E_F) = 6.0 states/eV/cell

The structure in CIF format:
```
data_Tl2HgMo
_symmetry_space_group_name_H-M 'C m m 2'
_symmetry_Int_Tables_number 35
_cell_length_a 4.2333
_cell_length_b 4.2721
_cell_length_c 9.6609
_cell_angle_alpha 90.00
_cell_angle_beta 90.00
_cell_angle_gamma 90.00
loop_
_symmetry_equiv_pos_as_xyz
'x,y,z'
'-x,-y,z'
'-x,y,z'
'x,-y,z'
'x+1/2,y+1/2,z'
'-x+1/2,-y+1/2,z'
'-x+1/2,y+1/2,z'
'x+1/2,-y+1/2,z'
loop_
_atom_site_label
_atom_site_fract_x
_atom_site_fract_y
_atom_site_fract_z
Tl1 0.0000 0.0000 0.0000
Tl2 0.0000 0.5000 0.2980
Hg1 0.0000 0.5000 0.7287
Mo1 0.0000 0.0000 0.5246
```